(1)
The following is a GGA-PBE calculation of a relaxed La2ZrIn crystal, from Alexandria.

Summary:
The spin magnetization comes out at 0.0 μB/f.u.

Geometry as CIF:
```
data_La2ZrIn
_chemical_formula_sum 'La6 Zr3 In3'
_cell_length_a 3.4965
_cell_length_b 3.4965
_cell_length_c 34.1318
_cell_angle_alpha 90.00
_cell_angle_beta 90.00
_cell_angle_gamma 120.00
_symmetry_space_group_name_H-M 'R -3 m'
_symmetry_Int_Tables_number 166
_symmetry_space_group_name_Hall '-R 3 2"'
loop_
_atom_site_label
_atom_site_type_symbol
_atom_site_fract_x
_atom_site_fract_y
_atom_site_fract_z
La1 La 0.0000 0.0000 0.2480
Zr1 Zr 0.0000 0.0000 0.5000
In1 In 0.0000 0.0000 0.0000
```

---

(2)
The following is a GGA-PBE calculation of a relaxed La2ZrIn crystal, from Alexandria.

Summary:
The spin magnetization comes out at 0.0 μB/f.u.

Geometry as CIF:
```
data_La2ZrIn
_chemical_formula_sum 'La2 Zr1 In1'
_cell_length_a 3.502
_cell_length_b 3.502
_cell_length_c 9.572
_cell_angle_alpha 90.00
_cell_angle_beta 90.00
_cell_angle_gamma 90.00
_symmetry_space_group_name_H-M 'P 4 m m'
_symmetry_Int_Tables_number 99
_symmetry_space_group_name_Hall 'P 4 -2'
loop_
_atom_site_label
_atom_site_type_symbol
_atom_site_fract_x
_atom_site_fract_y
_atom_site_fract_z
La1 La 0.000 0.000 0.000
La2 La 0.500 0.500 0.312
Zr1 Zr 0.000 0.000 0.557
In1 In 0.500 0.500 0.757
```

---

(3)
The following is a GGA-PBE calculation of a relaxed La2ZrIn crystal, from Alexandria.

Summary:
The spin magnetization comes out at 0.0 μB/f.u.

Geometry as CIF:
```
data_La2ZrIn
_chemical_formula_sum 'La4 Zr2 In2'
_cell_length_a 4.804
_cell_length_b 4.804
_cell_length_c 10.013
_cell_angle_alpha 90.00
_cell_angle_beta 90.00
_cell_angle_gamma 90.00
_symmetry_space_group_name_H-M 'I 4/m m m'
_symmetry_Int_Tables_number 139
_symmetry_space_group_name_Hall '-I 4 2'
loop_
_atom_site_label
_atom_site_type_symbol
_atom_site_fract_x
_atom_site_fract_y
_atom_site_fract_z
La1 La 0.000 0.500 0.250
Zr1 Zr 0.000 0.000 0.000
In1 In 0.000 0.000 0.500
```

---

(4)
The following is a GGA-PBE calculation of a relaxed La2ZrIn crystal, from Alexandria.

Summary:
The spin magnetization comes out at 0.0 μB/f.u.

Geometry as CIF:
```
data_La2ZrIn
_chemical_formula_sum 'La2 Zr1 In1'
_cell_length_a 4.775
_cell_length_b 4.775
_cell_length_c 4.996
_cell_angle_alpha 90.00
_cell_angle_beta 90.00
_cell_angle_gamma 90.00
_symmetry_space_group_name_H-M 'P 4/m m m'
_symmetry_Int_Tables_number 123
_symmetry_space_group_name_Hall '-P 4 2'
loop_
_atom_site_label
_atom_site_type_symbol
_atom_site_fract_x
_atom_site_fract_y
_atom_site_fract_z
La1 La 0.000 0.500 0.000
Zr1 Zr 0.000 0.000 0.500
In1 In 0.500 0.500 0.500
```

---

(5)
The following is a GGA-PBE calculation of a relaxed La3ZrIn crystal, from Alexandria.

Summary:
The spin magnetization comes out at 0.0 μB/f.u. The value obtained for the polymorph energy (0 for the lowest one) is 0.00 eV/f.u.

Geometry as CIF:
```
data_La3ZrIn
_chemical_formula_sum 'La3 Zr1 In1'
_cell_length_a 5.682
_cell_length_b 5.682
_cell_length_c 5.682
_cell_angle_alpha 90.00
_cell_angle_beta 90.00
_cell_angle_gamma 90.00
_symmetry_space_group_name_H-M 'P m -3 m'
_symmetry_Int_Tables_number 221
_symmetry_space_group_name_Hall '-P 4 2 3'
loop_
_atom_site_label
_atom_site_type_symbol
_atom_site_fract_x
_atom_site_fract_y
_atom_site_fract_z
La1 La 0.000 0.000 0.500
Zr1 Zr 0.000 0.000 0.000
In1 In 0.500 0.500 0.500
```

---

(6)
The following is a GGA-PBE calculation of a relaxed LaZrIn6 crystal, from Alexandria.

Summary:
The spin magnetization comes out at 0.0 μB/f.u.

Geometry as CIF:
```
data_LaZrIn6
_chemical_formula_sum 'La1 Zr1 In6'
_cell_length_a 4.662
_cell_length_b 4.662
_cell_length_c 9.233
_cell_angle_alpha 90.00
_cell_angle_beta 90.00
_cell_angle_gamma 90.00
_symmetry_space_group_name_H-M 'P 4/m m m'
_symmetry_Int_Tables_number 123
_symmetry_space_group_name_Hall '-P 4 2'
loop_
_atom_site_label
_atom_site_type_symbol
_atom_site_fract_x
_atom_site_fract_y
_atom_site_fract_z
La1 La 0.000 0.000 0.000
Zr1 Zr 0.000 0.000 0.500
In1 In 0.000 0.500 0.263
In2 In 0.500 0.500 0.000
In3 In 0.500 0.500 0.500
```

---

(7)
The following is a GGA-PBE calculation of a relaxed La2ZrIn crystal, from Alexandria.

Summary:
The spin magnetization comes out at 0.0 μB/f.u.

Geometry as CIF:
```
data_La2ZrIn
_chemical_formula_sum 'La4 Zr2 In2'
_cell_length_a 11.613
_cell_length_b 3.389
_cell_length_c 5.836
_cell_angle_alpha 90.00
_cell_angle_beta 97.01
_cell_angle_gamma 90.00
_symmetry_space_group_name_H-M 'C 1 2/m 1'
_symmetry_Int_Tables_number 12
_symmetry_space_group_name_Hall '-C 2y'
loop_
_atom_site_label
_atom_site_type_symbol
_atom_site_fract_x
_atom_site_fract_y
_atom_site_fract_z
La1 La 0.241 0.000 0.239
Zr1 Zr 0.000 0.000 0.500
In1 In 0.000 0.500 0.000
```

---

(8)
The following is a GGA-PBE calculation of a relaxed LaZr4In crystal, from Alexandria.

Summary:
The spin magnetization comes out at 0.0 μB/f.u.

Geometry as CIF:
```
data_LaZr4In
_chemical_formula_sum 'La4 Zr16 In4'
_cell_length_a 8.491
_cell_length_b 8.491
_cell_length_c 8.491
_cell_angle_alpha 90.00
_cell_angle_beta 90.00
_cell_angle_gamma 90.00
_symmetry_space_group_name_H-M 'F -4 3 m'
_symmetry_Int_Tables_number 216
_symmetry_space_group_name_Hall 'F -4 2 3'
loop_
_atom_site_label
_atom_site_type_symbol
_atom_site_fract_x
_atom_site_fract_y
_atom_site_fract_z
La1 La 0.000 0.000 0.000
Zr1 Zr 0.127 0.127 0.627
In1 In 0.250 0.250 0.250
```

---

(9)
The following is a GGA-PBE calculation of a relaxed LaZr2In2 crystal, from Alexandria.

Summary:
The spin magnetization comes out at 0.0 μB/f.u. The value obtained for the polymorph energy (0 for the lowest one) is 0.01 eV/f.u.

Geometry as CIF:
```
data_LaZr2In2
_chemical_formula_sum 'La2 Zr4 In4'
_cell_length_a 4.418
_cell_length_b 4.418
_cell_length_c 13.895
_cell_angle_alpha 90.00
_cell_angle_beta 90.00
_cell_angle_gamma 90.00
_symmetry_space_group_name_H-M 'I 4/m m m'
_symmetry_Int_Tables_number 139
_symmetry_space_group_name_Hall '-I 4 2'
loop_
_atom_site_label
_atom_site_type_symbol
_atom_site_fract_x
_atom_site_fract_y
_atom_site_fract_z
La1 La 0.000 0.000 0.000
Zr1 Zr 0.000 0.500 0.250
In1 In 0.000 0.000 0.398
```

---

(10)
The following is a GGA-PBE calculation of a relaxed La2ZrIn crystal, from Alexandria.

Summary:
The spin magnetization comes out at 0.0 μB/f.u.

Geometry as CIF:
```
data_La2ZrIn
_chemical_formula_sum 'La4 Zr2 In2'
_cell_length_a 11.514
_cell_length_b 3.481
_cell_length_c 5.869
_cell_angle_alpha 90.00
_cell_angle_beta 101.80
_cell_angle_gamma 90.00
_symmetry_space_group_name_H-M 'C 1 m 1'
_symmetry_Int_Tables_number 8
_symmetry_space_group_name_Hall 'C -2y'
loop_
_atom_site_label
_atom_site_type_symbol
_atom_site_fract_x
_atom_site_fract_y
_atom_site_fract_z
La1 La 0.000 0.000 0.000
La2 La 0.222 0.000 0.743
Zr1 Zr 0.469 0.000 0.474
In1 In 0.246 0.500 0.264
```

---

(11)
The following is a GGA-PBE calculation of a relaxed LaZr3In crystal, from Alexandria.

Summary:
The spin magnetization comes out at 2.8 μB/f.u. The value obtained for the polymorph energy (0 for the lowest one) is 0.00 eV/f.u.

Geometry as CIF:
```
data_LaZr3In
_chemical_formula_sum 'La1 Zr3 In1'
_cell_length_a 5.406
_cell_length_b 5.406
_cell_length_c 5.406
_cell_angle_alpha 90.00
_cell_angle_beta 90.00
_cell_angle_gamma 90.00
_symmetry_space_group_name_H-M 'P m -3 m'
_symmetry_Int_Tables_number 221
_symmetry_space_group_name_Hall '-P 4 2 3'
loop_
_atom_site_label
_atom_site_type_symbol
_atom_site_fract_x
_atom_site_fract_y
_atom_site_fract_z
La1 La 0.000 0.000 0.000
Zr1 Zr 0.000 0.500 0.500
In1 In 0.500 0.500 0.500
```

---

(12)
The following is a GGA-PBE calculation of a relaxed La2ZrIn crystal, from Alexandria.

Summary:
The spin magnetization comes out at 0.0 μB/f.u.

Geometry as CIF:
```
data_La2ZrIn
_chemical_formula_sum 'La2 Zr1 In1'
_cell_length_a 3.424
_cell_length_b 3.424
_cell_length_c 10.080
_cell_angle_alpha 90.00
_cell_angle_beta 90.00
_cell_angle_gamma 90.00
_symmetry_space_group_name_H-M 'P 4/m m m'
_symmetry_Int_Tables_number 123
_symmetry_space_group_name_Hall '-P 4 2'
loop_
_atom_site_label
_atom_site_type_symbol
_atom_site_fract_x
_atom_site_fract_y
_atom_site_fract_z
La1 La 0.000 0.000 0.248
Zr1 Zr 0.500 0.500 0.500
In1 In 0.500 0.500 0.000
```

---

(13)
The following is a GGA-PBE calculation of a relaxed La2ZrIn crystal, from Alexandria.

Summary:
The spin magnetization comes out at 0.0 μB/f.u.

Geometry as CIF:
```
data_La2ZrIn
_chemical_formula_sum 'La6 Zr3 In3'
_cell_length_a 3.5019
_cell_length_b 3.5019
_cell_length_c 33.0500
_cell_angle_alpha 90.00
_cell_angle_beta 90.00
_cell_angle_gamma 120.00
_symmetry_space_group_name_H-M 'R 3 m'
_symmetry_Int_Tables_number 160
_symmetry_space_group_name_Hall 'R 3 -2"'
loop_
_atom_site_label
_atom_site_type_symbol
_atom_site_fract_x
_atom_site_fract_y
_atom_site_fract_z
La1 La 0.0000 0.0000 0.0000
La2 La 0.0000 0.0000 0.2394
Zr1 Zr 0.0000 0.0000 0.4924
In1 In 0.0000 0.0000 0.7517
```

---

(14)
The following is a GGA-PBE calculation of a relaxed La2ZrIn crystal, from Alexandria.

Summary:
The spin magnetization comes out at 0.0 μB/f.u.

Geometry as CIF:
```
data_La2ZrIn
_chemical_formula_sum 'La2 Zr1 In1'
_cell_length_a 3.549
_cell_length_b 4.723
_cell_length_c 7.064
_cell_angle_alpha 90.00
_cell_angle_beta 90.00
_cell_angle_gamma 90.00
_symmetry_space_group_name_H-M 'P m m m'
_symmetry_Int_Tables_number 47
_symmetry_space_group_name_Hall '-P 2 2'
loop_
_atom_site_label
_atom_site_type_symbol
_atom_site_fract_x
_atom_site_fract_y
_atom_site_fract_z
La1 La 0.000 0.000 0.246
Zr1 Zr 0.500 0.500 0.500
In1 In 0.500 0.500 0.000
```

---

| no. | E_form (eV per atom) |
| --- | --- |
| 1 | 0.005 |
| 2 | -0.124 |
| 3 | -0.110 |
| 4 | -0.153 |
| 5 | 0.336 |
| 6 | -0.340 |
| 7 | -0.006 |
| 8 | 0.162 |
| 9 | -0.222 |
| 10 | -0.120 |
| 11 | 0.783 |
| 12 | -0.099 |
| 13 | -0.022 |
| 14 | -0.088 |